# 1
An optimized crystal structure of NaHfHg2Rh. Source: Alexandria, functional PBE.

Properties
Electronic total energy ... -2.878 eV/atom
Volume ... 110.6 Å³ per cell
Formation energy from the elements ... 967 meV/atom
SG ... P4/mmm (123)

```
NaHfHg2Rh
1.0
4.818 0.000 0.000
0.000 4.818 0.000
0.000 0.000 4.764
Na Hf Hg Rh
1 1 2 1
Cartesian
0.000 0.000 0.000
2.409 2.409 2.382
0.000 2.409 0.000
2.409 0.000 0.000
0.000 0.000 2.382
```

=====

# 2
An optimized crystal structure of Mn3SiMo. Source: Alexandria, functional PBE.

Properties
Electronic total energy ... -7.878 eV/atom
Volume ... 68.9 Å³ per cell
Energy above the most stable polymorph in this dataset ... 0 meV per atom
E_form (uncorrected) ... 0.875 eV per atom
SG ... Pm-3m (221)

```
Mn3SiMo
1.0
4.100 0.000 0.000
0.000 4.100 0.000
0.000 0.000 4.100
Mn Si Mo
3 1 1
Cartesian
0.000 0.000 2.050
0.000 2.050 0.000
2.050 0.000 0.000
0.000 0.000 0.000
2.050 2.050 2.050
```

=====

# 3
An optimized crystal structure of CaVGe2B. Source: Alexandria, functional PBE.

Properties
Electronic total energy ... -3.034 eV/atom
Volume ... 125.2 Å³ per cell
Formation energy from the elements ... 2373 meV/atom
SG ... P4/mmm (123)

```
CaVGe2B
1.0
5.245 0.000 0.000
0.000 5.245 0.000
0.000 0.000 4.553
Ca V Ge B
1 1 2 1
Cartesian
0.000 0.000 0.000
0.000 0.000 2.277
0.000 2.622 0.000
2.622 0.000 0.000
2.622 2.622 2.277
```

=====

# 4
An optimized crystal structure of MnAg4N2. Source: Alexandria, functional PBE.

Properties
Electronic total energy ... -4.268 eV/atom
Volume ... 327.6 Å³ per cell
E_form (uncorrected) ... 1.049 eV per atom
SG ... I4/mmm (139)

```
MnAg4N2
1.0
5.503 0.000 0.000
0.000 5.503 0.000
0.000 0.000 10.819
Mn Ag N
2 8 4
Cartesian
0.000 0.000 0.000
2.751 2.751 5.409
0.000 0.000 2.544
0.000 0.000 8.275
0.000 2.751 0.000
0.000 2.751 5.409
2.751 0.000 0.000
2.751 0.000 5.409
2.751 2.751 2.866
2.751 2.751 7.953
0.000 0.000 4.842
0.000 0.000 5.977
2.751 2.751 0.568
2.751 2.751 10.251
```

=====

# 5
An optimized crystal structure of Sm2Cu12Ni3Rh. Source: Alexandria, functional PBE.

Properties
Electronic total energy ... -4.555 eV/atom
Volume ... 259.4 Å³ per cell
Formation energy from the elements ... 72 meV/atom
SG ... R-3m (166)

```
Sm2Cu12Ni3Rh
1.0
4.313 2.490 4.026
-4.313 2.490 4.026
0.000 -4.980 4.026
Sm Cu Ni Rh
2 12 3 1
Cartesian
0.000 0.000 2.909
0.000 0.000 9.169
-1.810 -1.045 5.227
0.000 -2.553 4.494
-2.211 1.276 4.494
-2.211 -1.276 7.584
0.000 -2.090 6.851
-1.810 1.045 6.851
1.810 -1.045 5.227
0.000 2.090 5.227
2.211 1.276 4.494
2.211 -1.276 7.584
0.000 2.553 7.584
1.810 1.045 6.851
-4.313 0.000 6.039
-2.156 1.245 2.013
2.156 1.245 2.013
0.000 0.000 0.000
```

=====

# 6
An optimized crystal structure of CaRe. Source: Alexandria, functional PBE.

Properties
Electronic total energy ... -6.636 eV/atom
Volume ... 97.6 Å³ per cell
Energy above the most stable polymorph in this dataset ... 287 meV per atom
Formation energy from the elements ... 589 meV/atom
SG ... Pmma (51)

```
CaRe
1.0
4.240 0.000 0.000
0.000 3.068 0.000
0.000 0.000 7.502
Ca Re
2 2
Cartesian
1.060 0.000 1.484
3.180 0.000 6.018
1.060 1.534 4.331
3.180 1.534 3.171
```

=====

# 7
An optimized crystal structure of CuTeAu2. Source: Alexandria, functional PBE.

Properties
Electronic total energy ... -3.243 eV/atom
Volume ... 158.1 Å³ per cell
E_form (uncorrected) ... 0.205 eV per atom
SG ... Cmm2 (35)

```
CuTeAu2
1.0
4.203 0.000 0.000
0.000 4.428 0.000
0.000 0.000 8.495
Cu Te Au
2 2 4
Cartesian
0.000 0.000 0.000
2.102 2.214 0.000
0.000 2.214 6.471
2.102 0.000 6.471
0.000 0.000 3.663
0.000 2.214 1.663
2.102 0.000 1.663
2.102 2.214 3.663
```

=====

# 8
An optimized crystal structure of CaLaGd4. Source: Alexandria, functional PBE.

Properties
Electronic total energy ... -10.336 eV/atom
Volume ... 218.1 Å³ per cell
Formation energy from the elements ... 206 meV/atom
SG ... F-43m (216)

```
CaLaGd4
1.0
0.000 4.778 4.778
4.778 0.000 4.778
4.778 4.778 0.000
Ca La Gd
1 1 4
Cartesian
0.000 0.000 0.000
7.166 7.166 7.166
3.597 3.597 3.597
5.958 5.958 3.597
5.958 3.597 5.958
3.597 5.958 5.958
```

=====

# 9
An optimized crystal structure of KZnRu2. Source: Alexandria, functional PBE.

Properties
Electronic total energy ... -4.238 eV/atom
Volume ... 390.2 Å³ per cell
Formation energy from the elements ... 992 meV/atom
SG ... I-42d (122)

```
KZnRu2
1.0
4.570 0.000 0.000
0.000 4.570 0.000
0.000 0.000 18.687
K Zn Ru
4 4 8
Cartesian
0.000 0.000 0.000
0.000 2.285 4.672
2.285 0.000 14.015
2.285 2.285 9.343
0.000 0.000 9.343
0.000 2.285 14.015
2.285 0.000 4.672
2.285 2.285 0.000
0.237 3.427 11.679
1.142 0.237 7.008
1.142 2.047 16.351
2.047 3.427 2.336
2.522 1.142 2.336
3.427 2.522 16.351
3.427 4.332 7.008
4.332 1.142 11.679
```

=====

# 10
An optimized crystal structure of SrNdSnAu. Source: Alexandria, functional PBE.

Properties
Electronic total energy ... -4.129 eV/atom
Volume ... 465.7 Å³ per cell
Formation energy from the elements ... -697 meV/atom
SG ... F-43m (216)

```
SrNdSnAu
1.0
7.751 0.000 0.000
0.000 7.751 0.000
0.000 0.000 7.751
Sr Nd Sn Au
4 4 4 4
Cartesian
0.000 0.000 0.000
0.000 3.876 3.876
3.876 0.000 3.876
3.876 3.876 0.000
0.000 0.000 3.876
0.000 3.876 0.000
3.876 0.000 0.000
3.876 3.876 3.876
1.938 1.938 5.813
1.938 5.813 1.938
5.813 1.938 1.938
5.813 5.813 5.813
1.938 1.938 1.938
1.938 5.813 5.813
5.813 1.938 5.813
5.813 5.813 1.938
```

=====

# 11
An optimized crystal structure of Ti2Si2Se. Source: Alexandria, functional PBE.

Properties
Electronic total energy ... -6.539 eV/atom
Volume ... 165.4 Å³ per cell
Energy above the most stable polymorph in this dataset ... 116 meV per atom
E_form (uncorrected) ... -0.515 eV per atom
SG ... P4/mbm (127)

```
Ti2Si2Se
1.0
6.844 0.000 0.000
0.000 6.844 0.000
0.000 0.000 3.531
Ti Si Se
4 4 2
Cartesian
1.192 2.230 0.000
2.230 5.652 0.000
4.614 1.192 0.000
5.652 4.614 0.000
0.829 4.251 1.766
2.593 0.829 1.766
4.251 6.015 1.766
6.015 2.593 1.766
0.000 0.000 0.000
3.422 3.422 0.000
```

=====

# 12
An optimized crystal structure of Tb3Tl2In4. Source: Alexandria, functional PBE.

Properties
Electronic total energy ... -3.575 eV/atom
Volume ... 240.3 Å³ per cell
Formation energy from the elements ... -289 meV/atom
SG ... P-62m (189)

```
Tb3Tl2In4
1.0
7.933 0.000 0.000
-3.966 6.870 0.000
0.000 0.000 4.410
Tb Tl In
3 2 4
Cartesian
-2.398 4.153 0.000
1.569 2.717 0.000
4.796 0.000 0.000
0.000 4.580 2.205
3.966 2.290 2.205
0.000 0.000 0.000
-1.026 1.778 2.205
2.053 0.000 2.205
2.940 5.092 2.205
```